--- one ---
DFT (PBE) results for a geometry-optimized Cd2Ag5Cl12 structure.

Lattice parameters (Å, degrees): 7.440 8.024 9.756 99.80 90.05 117.62
Sites, in units of the cell vectors:
Cd 0.248 0.000 0.000
Cd 0.752 0.000 0.000
Ag 0.244 0.487 0.500
Ag 0.248 0.496 0.998
Ag 0.500 0.000 0.500
Ag 0.752 0.504 0.002
Ag 0.756 0.513 0.500
Cl 0.047 0.094 0.839
Cl 0.057 0.614 0.858
Cl 0.132 0.744 0.498
Cl 0.388 0.256 0.502
Cl 0.443 0.386 0.142
Cl 0.456 0.912 0.164
Cl 0.544 0.088 0.836
Cl 0.557 0.614 0.858
Cl 0.612 0.744 0.498
Cl 0.868 0.256 0.502
Cl 0.943 0.386 0.142
Cl 0.953 0.906 0.161

=====

--- two ---
DFT (PBE) results for a geometry-optimized Cd2Ag5Cl12 structure.

Lattice parameters (Å, degrees): 8.043 8.043 9.558 100.31 100.31 54.08
Sites, in units of the cell vectors:
Cd 0.239 0.761 0.000
Cd 0.761 0.239 0.000
Ag 0.000 0.000 0.500
Ag 0.291 0.291 0.284
Ag 0.354 0.354 0.664
Ag 0.646 0.646 0.336
Ag 0.709 0.709 0.716
Cl 0.051 0.051 0.833
Cl 0.076 0.555 0.829
Cl 0.137 0.615 0.482
Cl 0.385 0.863 0.518
Cl 0.445 0.924 0.171
Cl 0.452 0.452 0.161
Cl 0.548 0.548 0.839
Cl 0.555 0.076 0.829
Cl 0.615 0.137 0.482
Cl 0.863 0.385 0.518
Cl 0.924 0.445 0.171
Cl 0.949 0.949 0.167

=====

Most stable one: one, least stable one: two.

=====

--- one ---
DFT (PBE) results for a geometry-optimized Cd2Ag3Cl8 structure.

Lattice parameters (Å, degrees): 7.600 7.600 7.091 90.91 90.91 59.64
Sites, in units of the cell vectors:
Cd 0.219 0.219 0.446
Cd 0.781 0.781 0.554
Ag 0.258 0.742 0.000
Ag 0.500 0.500 0.500
Ag 0.742 0.258 0.000
Cl 0.100 0.100 0.153
Cl 0.108 0.597 0.348
Cl 0.403 0.892 0.652
Cl 0.405 0.405 0.816
Cl 0.595 0.595 0.184
Cl 0.597 0.108 0.348
Cl 0.892 0.403 0.652
Cl 0.900 0.900 0.847

=====

--- two ---
DFT (PBE) results for a geometry-optimized Cd2Ag3Cl8 structure.

Lattice parameters (Å, degrees): 7.960 7.960 6.835 109.39 109.39 57.68
Sites, in units of the cell vectors:
Cd 0.247 0.247 0.489
Cd 0.753 0.753 0.511
Ag 0.244 0.756 0.500
Ag 0.500 0.500 0.000
Ag 0.756 0.244 0.500
Cl 0.123 0.123 0.709
Cl 0.124 0.605 0.748
Cl 0.383 0.383 0.284
Cl 0.395 0.876 0.252
Cl 0.605 0.124 0.748
Cl 0.617 0.617 0.716
Cl 0.876 0.395 0.252
Cl 0.877 0.877 0.291

=====

Most stable one: one, least stable one: two.

=====

--- one ---
DFT (PBE) results for a geometry-optimized Cd2AgCl2 structure.

Lattice parameters (Å, degrees): 8.886 8.886 8.886 154.79 154.79 35.95
Sites, in units of the cell vectors:
Cd 0.250 0.750 0.500
Cd 0.750 0.250 0.500
Ag 0.000 0.000 0.000
Cl 0.405 0.405 0.000
Cl 0.595 0.595 0.000

=====

--- two ---
DFT (PBE) results for a geometry-optimized Cd2AgCl2 structure.

Lattice parameters (Å, degrees): 8.822 8.822 3.664 90.00 90.00 90.00
Sites, in units of the cell vectors:
Cd 0.107 0.393 0.000
Cd 0.393 0.893 0.000
Cd 0.607 0.107 0.000
Cd 0.893 0.607 0.000
Ag 0.000 0.000 0.500
Ag 0.500 0.500 0.500
Cl 0.244 0.744 0.500
Cl 0.256 0.244 0.500
Cl 0.744 0.756 0.500
Cl 0.756 0.256 0.500

=====

Most stable one: two, least stable one: one.

=====

--- one ---
DFT (PBE) results for a geometry-optimized CdAgCl structure.

Lattice parameters (Å, degrees): 6.252 6.252 6.252 149.25 149.25 44.04
Sites, in units of the cell vectors:
Cd 0.000 0.000 0.000
Ag 0.652 0.652 0.000
Cl 0.328 0.328 0.000

=====

--- two ---
DFT (PBE) results for a geometry-optimized CdAgCl structure.

Lattice parameters (Å, degrees): 3.616 3.616 5.924 90.00 90.00 120.00
Sites, in units of the cell vectors:
Cd 0.000 0.000 0.000
Ag 0.333 0.667 0.677
Cl 0.667 0.333 0.337

=====

--- three ---
DFT (PBE) results for a geometry-optimized CdAgCl structure.

Lattice parameters (Å, degrees): 6.867 6.471 3.487 81.23 68.65 30.12
Sites, in units of the cell vectors:
Cd 0.000 0.000 0.000
Ag 0.335 0.335 0.665
Cl 0.667 0.667 0.333

=====

Most stable one: two, least stable one: one.

=====

--- one ---
DFT (PBE) results for a geometry-optimized CdAgCl structure.

Lattice parameters (Å, degrees): 4.810 4.810 4.810 60.00 60.00 60.00
Sites, in units of the cell vectors:
Cd 0.000 0.000 0.000
Ag 0.750 0.750 0.750
Cl 0.500 0.500 0.500

=====

--- two ---
DFT (PBE) results for a geometry-optimized CdAgCl structure.

Lattice parameters (Å, degrees): 12.044 3.573 3.573 59.84 90.00 90.00
Sites, in units of the cell vectors:
Cd 0.169 0.000 0.000
Cd 0.831 0.000 0.000
Ag 0.000 0.667 0.667
Ag 0.500 0.671 0.671
Cl 0.347 0.339 0.339
Cl 0.653 0.339 0.339

=====

Most stable one: two, least stable one: one.

=====

--- one ---
DFT (PBE) results for a geometry-optimized CdAgS2Cl structure.

Lattice parameters (Å, degrees): 4.982 4.982 5.348 90.00 90.00 90.00
Sites, in units of the cell vectors:
Cd 0.000 0.000 0.000
Ag 0.500 0.500 0.500
S 0.000 0.500 0.000
S 0.500 0.000 0.000
Cl 0.000 0.000 0.500

=====

--- two ---
DFT (PBE) results for a geometry-optimized CdAgS2Cl structure.

Lattice parameters (Å, degrees): 4.896 4.896 4.891 90.00 90.00 90.00
Sites, in units of the cell vectors:
Cd 0.000 0.000 0.000
Ag 0.500 0.500 0.500
S 0.000 0.500 0.500
S 0.500 0.000 0.500
Cl 0.500 0.500 0.000

=====

Most stable one: two, least stable one: one.